Computed, not measured: a relaxed structure of AlRu2I at the PBE-GGA level of DFT.

Unit cell a=6.383 b=6.383 c=6.383 alpha=90.00 beta=90.00 gamma=90.00
Fractional positions:
Al1 0.000 0.000 0.000
Al2 0.000 0.500 0.500
Al3 0.500 0.000 0.500
Al4 0.500 0.500 0.000
Ru1 0.250 0.250 0.250
Ru2 0.250 0.250 0.750
Ru3 0.250 0.750 0.250
Ru4 0.250 0.750 0.750
Ru5 0.750 0.250 0.250
Ru6 0.750 0.250 0.750
Ru7 0.750 0.750 0.250
Ru8 0.750 0.750 0.750
I1 0.000 0.000 0.500
I2 0.000 0.500 0.000
I3 0.500 0.000 0.000
I4 0.500 0.500 0.500

Calculated values
Total magnetic moment   3.28 Bohr magnetons per cell
Symmetry   Fm-3m
E above lowest polymorph   0.00 eV/f.u.
E_form (uncorrected)   1.893 eV per formula unit
Total energy   -5.49 eV per atom

***

Computed, not measured: a relaxed structure of AlRuI3 at the PBE-GGA level of DFT.

Unit cell a=5.474 b=5.474 c=5.474 alpha=90.00 beta=90.00 gamma=90.00
Fractional positions:
Al1 0.000 0.000 0.000
Ru1 0.500 0.500 0.500
I1 0.000 0.500 0.500
I2 0.500 0.000 0.500
I3 0.500 0.500 0.000

Calculated values
Total magnetic moment   1.34 Bohr magnetons per cell
Symmetry   Pm-3m
E above lowest polymorph   0.00 eV/f.u.
E_form (uncorrected)   1.881 eV per formula unit
Total energy   -3.16 eV per atom

***

Computed, not measured: a relaxed structure of AlRuI3 at the PBE-GGA level of DFT.

Unit cell a=5.582 b=5.582 c=5.582 alpha=90.00 beta=90.00 gamma=90.00
Fractional positions:
Al1 0.000 0.000 0.000
Ru1 0.500 0.500 0.500
I1 0.000 0.000 0.500
I2 0.000 0.500 0.000
I3 0.500 0.000 0.000

Calculated values
Total magnetic moment   3.16 Bohr magnetons per cell
Symmetry   Pm-3m
E above lowest polymorph   2.04 eV/f.u.
E_form (uncorrected)   3.921 eV per formula unit
Total energy   -2.75 eV per atom